No. 1
{"formula": "BePbAu2", "functional": "meta-GGA SCAN", "state": "single point on PBEsol structure", "lattice": [[3.840, 0.000, 0.000], [-1.920, 3.326, 0.000], [0.000, 0.000, 17.912]], "species": ["Be", "Be", "Be", "Pb", "Pb", "Pb", "Au", "Au", "Au", "Au", "Au", "Au"], "frac_coords": [[0.000, 0.000, 0.000], [0.333, 0.667, 0.667], [0.667, 0.333, 0.333], [0.000, 0.000, 0.500], [0.333, 0.667, 0.167], [0.667, 0.333, 0.833], [0.000, 0.000, 0.283], [0.000, 0.000, 0.717], [0.333, 0.667, 0.384], [0.333, 0.667, 0.949], [0.667, 0.333, 0.051], [0.667, 0.333, 0.616]], "sg": "R-3m", "polymorph_energy_mev_per_atom": 0}

No. 2
{"formula": "MgAlCd2", "functional": "meta-GGA SCAN", "state": "single point on PBEsol structure", "lattice": [[5.270, 0.000, 0.000], [0.000, 3.040, 0.000], [-1.903, 0.000, 4.989]], "species": ["Mg", "Al", "Cd", "Cd"], "frac_coords": [[0.000, 0.000, 0.000], [0.000, 0.500, 0.500], [0.500, 0.000, 0.500], [0.500, 0.500, 0.000]], "dft_energy_ev_per_atom": -18.387, "sg": "P2/m"}

No. 3
{"formula": "AsC3", "functional": "meta-GGA SCAN", "state": "single point on PBEsol structure", "lattice": [[3.653, 0.000, 0.000], [0.000, 3.653, 0.000], [0.000, 0.000, 2.723]], "species": ["As", "C", "C", "C"], "frac_coords": [[0.000, 0.000, 0.000], [0.000, 0.500, 0.500], [0.500, 0.000, 0.500], [0.500, 0.500, 0.000]], "sg": "P4/mmm", "polymorph_energy_mev_per_atom": 2623}

No. 4
{"formula": "TcSbRu2", "functional": "meta-GGA SCAN", "state": "single point on PBEsol structure", "lattice": [[2.898, 0.000, 0.000], [0.000, 2.898, 0.000], [0.000, 0.000, 7.181]], "species": ["Tc", "Sb", "Ru", "Ru"], "frac_coords": [[0.000, 0.000, 0.000], [0.000, 0.000, 0.500], [0.500, 0.500, 0.239], [0.500, 0.500, 0.761]], "raw_formation_energy_ev_per_fu": 0.91, "sg": "P4/mmm"}

No. 5
{"formula": "SnAs3N", "functional": "meta-GGA SCAN", "state": "single point on PBEsol structure", "lattice": [[4.414, 0.000, 0.000], [0.000, 4.414, 0.000], [0.000, 0.000, 4.414]], "species": ["Sn", "As", "As", "As", "N"], "frac_coords": [[0.000, 0.000, 0.000], [0.000, 0.500, 0.500], [0.500, 0.000, 0.500], [0.500, 0.500, 0.000], [0.500, 0.500, 0.500]], "raw_formation_energy_ev_per_fu": 3.72, "sg": "Pm-3m"}

No. 6
{"formula": "Nb3HgN", "functional": "meta-GGA SCAN", "state": "single point on PBEsol structure", "lattice": [[4.973, 0.000, 0.000], [0.000, 4.973, 0.000], [0.000, 0.000, 4.973]], "species": ["Nb", "Nb", "Nb", "Hg", "N"], "frac_coords": [[0.000, 0.000, 0.500], [0.000, 0.500, 0.000], [0.500, 0.000, 0.000], [0.000, 0.000, 0.000], [0.500, 0.500, 0.500]], "raw_formation_energy_ev_per_fu": 14.93, "sg": "Pm-3m"}

No. 7
{"formula": "ZnMoCl2", "functional": "meta-GGA SCAN", "state": "single point on PBEsol structure", "lattice": [[2.907, 0.000, 0.000], [0.000, 4.344, 0.000], [0.000, 0.000, 11.783]], "species": ["Zn", "Zn", "Mo", "Mo", "Cl", "Cl", "Cl", "Cl"], "frac_coords": [[0.000, 0.000, 0.000], [0.500, 0.500, 0.500], [0.000, 0.500, 0.311], [0.500, 0.000, 0.811], [0.000, 0.000, 0.644], [0.000, 0.500, 0.834], [0.500, 0.000, 0.334], [0.500, 0.500, 0.144]], "raw_formation_energy_ev_per_fu": 0.28, "sg": "Imm2", "polymorph_energy_mev_per_atom": 306}

No. 8
{"formula": "MgAl2Pb", "functional": "meta-GGA SCAN", "state": "single point on PBEsol structure", "lattice": [[8.087, 0.000, 0.000], [0.000, 8.087, 0.000], [0.000, 0.000, 5.702]], "species": ["Mg", "Mg", "Mg", "Mg", "Al", "Al", "Al", "Al", "Al", "Al", "Al", "Al", "Pb", "Pb", "Pb", "Pb"], "frac_coords": [[0.000, 0.000, 0.000], [0.000, 0.500, 0.250], [0.500, 0.000, 0.750], [0.500, 0.500, 0.500], [0.239, 0.250, 0.625], [0.250, 0.739, 0.875], [0.250, 0.761, 0.375], [0.261, 0.250, 0.125], [0.739, 0.750, 0.125], [0.750, 0.239, 0.375], [0.750, 0.261, 0.875], [0.761, 0.750, 0.625], [0.000, 0.000, 0.500], [0.000, 0.500, 0.750], [0.500, 0.000, 0.250], [0.500, 0.500, 0.000]], "dft_energy_ev_per_atom": -23.791, "sg": "I-42d"}